1.
Nd5TlCd2: optimized geometry, GGA-PBE.

abc: 8.0168 8.0168 9.6749
angles: 114.48 114.48 90.00
Positions (direct):
Nd  0.6822  0.1822  0.6900
Nd  0.1822  0.0078  0.6900
Nd  0.9922  0.4922  0.3100
Nd  0.8178  0.9922  0.3100
Nd  0.3178  0.8178  0.3100
Nd  0.5078  0.6822  0.6900
Nd  0.0078  0.5078  0.6900
Nd  0.0000  0.0000  0.0000
Nd  0.4922  0.3178  0.3100
Nd  0.5000  0.5000  0.0000
Tl  0.2500  0.2500  0.5000
Tl  0.7500  0.7500  0.5000
Cd  0.1276  0.3724  0.0000
Cd  0.6276  0.1276  0.0000
Cd  0.8724  0.6276  0.0000
Cd  0.3724  0.8724  0.0000

## Properties
For the density of states at the Fermi level, the calculation gives 1.2004 states/eV per atom. The calculation puts the formation energy at -207 meV/atom. As for the space group: I4/mcm (140).


2.
CaInIr: optimized geometry, GGA-PBE.

abc: 4.6886 4.6886 4.6886
angles: 60.00 60.00 60.00
Positions (direct):
Ca  0.0000  0.0000  0.0000
Ir  0.2500  0.2500  0.2500
In  0.5000  0.5000  0.5000

## Properties
For the density of states at the Fermi level, the calculation gives 0.5007 states/eV per atom. The calculation puts the formation energy at -263 meV/atom. As for the space group: F-43m (216).


3.
In4AsP: optimized geometry, GGA-PBE.

abc: 6.0323 6.0323 6.0323
angles: 60.00 60.00 60.00
Positions (direct):
In  0.8747  0.3751  0.3751
In  0.3751  0.3751  0.8747
In  0.3751  0.3751  0.3751
In  0.3751  0.8747  0.3751
P  0.7500  0.7500  0.7500
As  0.0000  0.0000  0.0000

## Properties
For the density of states at the Fermi level, the calculation gives 1.0871 states/eV per atom. The calculation puts the formation energy at 588 meV/atom. As for the space group: F-43m (216).


4.
Mg4Al3: optimized geometry, GGA-PBE.

abc: 4.2659 5.2407 6.8867
angles: 97.47 90.00 114.02
Positions (direct):
Al  0.3545  0.7091  0.0716
Al  0.5000  0.0000  0.5000
Al  0.6455  0.2909  0.9284
Mg  0.9293  0.8587  0.7894
Mg  0.0707  0.1413  0.2106
Mg  0.7886  0.5771  0.3520
Mg  0.2114  0.4229  0.6480

## Properties
For the density of states at the Fermi level, the calculation gives 0.4356 states/eV per atom. For the excess energy over the best structure of this formula in the dataset, the calculation gives 0.03 eV per formula unit. The calculation puts the formation energy at 15 meV/atom. As for the space group: C2/m (12).


5.
Sc2HgBr: optimized geometry, GGA-PBE.

abc: 5.2348 3.4208 5.2353
angles: 90.02 90.00 90.00
Last column: magnetic moment on the atom in μB.
Positions (direct):
Sc  0.0000  0.2493  0.8752  0.08
Sc  0.5000  0.2508  0.3748  0.08
Br  0.0000  0.2500  0.3752  0.00
Hg  0.5000  0.7499  0.8748  0.00

## Properties
For the density of states at the Fermi level, the calculation gives 0.8684 states/eV per atom. For the excess energy over the best structure of this formula in the dataset, the calculation gives 0.08 eV per formula unit. As for the uncorrected formation energy: -2.274 eV per formula unit. As for the space group: P4/mmm (123).


6.
Pm12CdCo6: optimized geometry, GGA-PBE.

abc: 8.6006 8.6006 8.6006
angles: 109.47 109.47 109.47
Positions (direct):
Co  0.5000  0.1116  0.6116
Co  0.1116  0.6116  0.5000
Co  0.3884  0.5000  0.8884
Co  0.8884  0.3884  0.5000
Co  0.6116  0.5000  0.1116
Co  0.5000  0.8884  0.3884
Pm  0.4996  0.1939  0.3057
Pm  0.1118  0.8061  0.3057
Pm  0.8882  0.1939  0.6943
Pm  0.1939  0.3057  0.4996
Pm  0.6943  0.5004  0.8061
Pm  0.3057  0.4996  0.1939
Pm  0.1939  0.6943  0.8882
Pm  0.8061  0.3057  0.1118
Pm  0.5004  0.8061  0.6943
Pm  0.8061  0.6943  0.5004
Pm  0.3057  0.1118  0.8061
Pm  0.6943  0.8882  0.1939
Cd  0.0000  0.0000  0.0000

## Properties
For the density of states at the Fermi level, the calculation gives 0.8023 states/eV per atom. The calculation puts the formation energy at -137 meV/atom. As for the space group: Im-3 (204).


7.
Rb2Tl2RhCl6: optimized geometry, GGA-PBE.

abc: 7.6304 7.6304 7.6075
angles: 99.18 99.18 116.37
Last column: magnetic moment on the atom in μB.
Positions (direct):
Cl  0.6867  0.9462  0.3097  0.00
Cl  0.3133  0.0538  0.6903  0.00
Cl  0.1984  0.1984  0.2492  0.06
Cl  0.9462  0.6867  0.3097  0.00
Cl  0.0538  0.3133  0.6903  0.00
Cl  0.8016  0.8016  0.7508  0.06
Rb  0.6567  0.3433  0.5000  0.00
Rb  0.3433  0.6567  0.5000  0.00
Rh  0.0000  0.0000  0.5000  0.70
Tl  0.8340  0.1660  0.0000  0.00
Tl  0.1660  0.8340  0.0000  0.00

## Properties
As for the uncorrected formation energy: -12.429 eV per formula unit. As for the space group: C2/m (12).


8.
PmEuEr2: optimized geometry, GGA-PBE.

abc: 5.0783 5.1151 5.1151
angles: 90.00 90.00 90.00
Last column: magnetic moment on the atom in μB.
Positions (direct):
Eu  0.5000  0.5000  0.5000  -6.82
Er  0.0000  0.0000  0.5000  -0.02
Er  0.0000  0.5000  0.0000  -0.02
Pm  0.5000  0.0000  0.0000  0.01

## Properties
For the density of states at the Fermi level, the calculation gives 1.4610 states/eV per atom. For the excess energy over the best structure of this formula in the dataset, the calculation gives 0.09 eV per formula unit. The calculation puts the formation energy at 90 meV/atom. As for the space group: P4/mmm (123).


9.
SrTmZnGe: optimized geometry, GGA-PBE.

abc: 5.1946 5.1946 5.1946
angles: 60.00 60.00 60.00
Positions (direct):
Ge  0.2500  0.2500  0.2500
Tm  0.5000  0.5000  0.5000
Zn  0.7500  0.7500  0.7500
Sr  0.0000  0.0000  0.0000

## Properties
For the density of states at the Fermi level, the calculation gives 0.7469 states/eV per atom. The calculation puts the formation energy at -351 meV/atom. As for the space group: F-43m (216).


10.
SrNbIO2: optimized geometry, GGA-PBE.

abc: 4.2331 4.2331 5.7139
angles: 90.00 90.00 90.00
Last column: magnetic moment on the atom in μB.
Positions (direct):
O  0.5000  0.0000  0.0000  -0.01
O  0.0000  0.5000  0.0000  -0.01
Nb  0.0000  0.0000  0.0000  0.30
I  0.0000  0.0000  0.5000  0.00
Sr  0.5000  0.5000  0.5000  0.00

## Properties
For the density of states at the Fermi level, the calculation gives 0.4953 states/eV per atom. For the excess energy over the best structure of this formula in the dataset, the calculation gives 0.00 eV per formula unit. As for the uncorrected formation energy: -7.124 eV per formula unit. As for the space group: P4/mmm (123).


11.
TaTc2NiH: optimized geometry, GGA-PBE.

abc: 3.9953 3.9953 3.7430
angles: 90.00 90.00 90.00
Positions (direct):
Ta  0.5000  0.5000  0.5000
H  0.0000  0.0000  0.0000
Tc  0.5000  0.0000  0.0000
Tc  0.0000  0.5000  0.0000
Ni  0.0000  0.0000  0.5000

## Properties
For the density of states at the Fermi level, the calculation gives 0.8153 states/eV per atom. For the excess energy over the best structure of this formula in the dataset, the calculation gives 0.00 eV per formula unit. As for the space group: P4/mmm (123).


12.
NdLuTlRu: optimized geometry, GGA-PBE.

abc: 5.1215 5.1215 5.1215
angles: 60.00 60.00 60.00
Positions (direct):
Ru  0.7500  0.7500  0.7500
Nd  0.0000  0.0000  0.0000
Lu  0.5000  0.5000  0.5000
Tl  0.2500  0.2500  0.2500

## Properties
For the density of states at the Fermi level, the calculation gives 0.5747 states/eV per atom. The calculation puts the formation energy at -194 meV/atom. As for the space group: F-43m (216).


13.
Pm4Er8Tm3: optimized geometry, GGA-PBE.

abc: 6.8963 6.8963 12.3805
angles: 73.83 73.83 60.00
Positions (direct):
Er  0.2465  0.7497  0.2541
Er  0.2443  0.2443  0.2670
Er  0.2503  0.7535  0.7459
Er  0.7557  0.7557  0.7330
Er  0.7535  0.2503  0.7459
Er  0.2503  0.2503  0.7459
Er  0.7497  0.2465  0.2541
Er  0.7497  0.7497  0.2541
Pm  0.3365  0.3365  0.9904
Pm  0.5000  0.5000  0.5000
Pm  0.0000  0.0000  0.0000
Pm  0.6635  0.6635  0.0096
Tm  0.0000  0.5000  0.5000
Tm  0.0000  0.0000  0.5000
Tm  0.5000  0.0000  0.5000

## Properties
For the density of states at the Fermi level, the calculation gives 1.4634 states/eV per atom. For the excess energy over the best structure of this formula in the dataset, the calculation gives 0.00 eV per formula unit. The calculation puts the formation energy at 124 meV/atom. As for the space group: R-3m (166).


14.
CeDyTcRh: optimized geometry, GGA-PBE.

abc: 4.8712 4.8712 4.8712
angles: 60.00 60.00 60.00
Positions (direct):
Tc  0.2500  0.2500  0.2500
Dy  0.0000  0.0000  0.0000
Rh  0.7500  0.7500  0.7500
Ce  0.5000  0.5000  0.5000

## Properties
For the density of states at the Fermi level, the calculation gives 0.7604 states/eV per atom. The calculation puts the formation energy at -368 meV/atom. As for the space group: F-43m (216).


15.
LaNiBr2: optimized geometry, GGA-PBE.

abc: 5.1306 5.1306 5.1306
angles: 60.00 60.00 60.00
Positions (direct):
Br  0.2500  0.2500  0.2500
Br  0.0000  0.0000  0.0000
Ni  0.7500  0.7500  0.7500
La  0.5000  0.5000  0.5000

## Properties
For the density of states at the Fermi level, the calculation gives 1.2018 states/eV per atom. For the excess energy over the best structure of this formula in the dataset, the calculation gives 1.59 eV per formula unit. As for the uncorrected formation energy: -2.071 eV per formula unit. As for the space group: F-43m (216).


16.
CaSmAg: optimized geometry, GGA-PBE.

abc: 5.0831 5.0831 9.1995
angles: 73.96 73.96 60.00
Positions (direct):
Ca  0.6253  0.6253  0.1241
Ca  0.3747  0.3747  0.8759
Sm  0.1271  0.1271  0.6186
Sm  0.8729  0.8729  0.3814
Ag  0.2455  0.2455  0.2634
Ag  0.7545  0.7545  0.7366

## Properties
For the density of states at the Fermi level, the calculation gives 1.4873 states/eV per atom. For the excess energy over the best structure of this formula in the dataset, the calculation gives 0.38 eV per formula unit. The calculation puts the formation energy at -23 meV/atom. As for the space group: R-3m (166).


17.
LaPmSm4Se8: optimized geometry, GGA-PBE.

abc: 8.6481 8.6481 8.6578
angles: 60.04 60.04 60.00
Positions (direct):
Se  0.7807  0.2406  0.7381
Se  0.7561  0.2294  0.2583
Se  0.2406  0.7807  0.7381
Se  0.2393  0.2393  0.2821
Se  0.2406  0.2406  0.7381
Se  0.7561  0.7561  0.2583
Se  0.2294  0.7561  0.2583
Se  0.7571  0.7571  0.7286
Sm  0.9991  0.5028  0.4991
Sm  0.6252  0.6252  0.1245
Sm  0.9991  0.9991  0.4991
Sm  0.5028  0.9991  0.4991
La  0.3746  0.3746  0.8761
Pm  0.9992  0.9992  0.0024

## Properties
For the density of states at the Fermi level, the calculation gives 0.6725 states/eV per atom. As for the uncorrected formation energy: -24.493 eV per formula unit. As for the space group: R3m (160).


18.
Ho2Tm3Ni4: optimized geometry, GGA-PBE.

abc: 7.4190 7.2784 7.1958
angles: 90.00 90.00 106.90
Positions (direct):
Ni  0.8826  0.4990  0.1195
Ni  0.8805  0.0893  0.5289
Ni  0.1195  0.9107  0.4711
Ni  0.6174  0.5010  0.6195
Ni  0.3826  0.4990  0.3805
Ni  0.3805  0.0893  0.9711
Ni  0.1174  0.5010  0.8805
Ni  0.6195  0.9107  0.0289
Ho  0.0939  0.2004  0.1794
Ho  0.9061  0.7996  0.8206
Ho  0.5939  0.2004  0.3206
Ho  0.4061  0.7996  0.6794
Tm  0.2492  0.7630  0.1713
Tm  0.7492  0.7630  0.3287
Tm  0.0000  0.5000  0.5000
Tm  0.5000  0.5000  0.0000
Tm  0.2508  0.2370  0.6713
Tm  0.7508  0.2370  0.8287

## Properties
For the density of states at the Fermi level, the calculation gives 0.6515 states/eV per atom. The calculation puts the formation energy at -421 meV/atom. As for the space group: P2_1/c (14).


19.
Al2Ni2Pb: optimized geometry, GGA-PBE.

abc: 3.7868 3.7868 6.3277
angles: 72.59 72.59 90.00
Positions (direct):
Al  0.7500  0.2500  0.5000
Al  0.2500  0.7500  0.5000
Ni  0.3853  0.3853  0.2294
Ni  0.6147  0.6147  0.7706
Pb  0.0000  0.0000  0.0000

## Properties
For the density of states at the Fermi level, the calculation gives 0.5457 states/eV per atom. The calculation puts the formation energy at -170 meV/atom. As for the space group: I4/mmm (139).


20.
Tl2Cd9Hg4: optimized geometry, GGA-PBE.

abc: 4.9340 4.9341 18.3620
angles: 90.00 90.00 120.00
Positions (direct):
Cd  0.0000  0.0000  0.5000
Cd  0.0000  0.0000  0.6767
Cd  0.0000  0.0000  0.3233
Cd  0.6667  0.3333  0.4387
Cd  0.0000  0.0000  0.8466
Cd  0.0000  0.0000  0.1534
Cd  0.3333  0.6667  0.5613
Cd  0.6667  0.3333  0.0517
Cd  0.3333  0.6667  0.9483
Hg  0.3333  0.6667  0.3742
Hg  0.6667  0.3333  0.8908
Hg  0.3333  0.6667  0.1092
Hg  0.6667  0.3333  0.6258
Tl  0.6667  0.3333  0.2410
Tl  0.3333  0.6667  0.7590

## Properties
For the density of states at the Fermi level, the calculation gives 0.3199 states/eV per atom. The calculation puts the formation energy at 33 meV/atom. As for the space group: P-3m1 (164).


| no. | V (Å³/cell) |
| --- | --- |
| 1 | 503.9 |
| 2 | 72.9 |
| 3 | 155.2 |
| 4 | 139.2 |
| 5 | 93.7 |
| 6 | 489.7 |
| 7 | 378.2 |
| 8 | 132.9 |
| 9 | 99.1 |
| 10 | 102.4 |
| 11 | 59.7 |
| 12 | 95.0 |
| 13 | 482.8 |
| 14 | 81.7 |
| 15 | 95.5 |
| 16 | 195.1 |
| 17 | 458.1 |
| 18 | 371.8 |
| 19 | 82.2 |
| 20 | 387.1 |